Material: TmAs
Method: DFT, GGA-PBE
State: relaxed

Cell: 6.1318 5.5481 5.4579 Å, 90.00 90.00 90.00°
Sites, in units of the cell vectors:
As1 0.7500 0.5000 0.0284
As2 0.2500 0.0000 0.3277
As3 0.7500 0.0000 0.6723
As4 0.2500 0.5000 0.9716
Tm1 0.7500 0.0000 0.1775
Tm2 0.0000 0.5000 0.5000
Tm3 0.5000 0.5000 0.5000
Tm4 0.2500 0.0000 0.8225

Calculated total energy (eV per atom): -5.455
Magnetization (μB per atom): 0.001
Symmetry: Pmma, No. 51

---

Material: NaPrCoS3
Method: DFT, GGA-PBE
State: relaxed

Cell: 6.6145 6.6145 10.9734 Å, 90.00 90.00 35.00°
Sites, in units of the cell vectors:
Co1 0.4698 0.4698 0.2500
Co2 0.5302 0.5302 0.7500
Na1 0.7500 0.7500 0.2500
Na2 0.2500 0.2500 0.7500
Pr1 0.0000 0.0000 0.0000
Pr2 0.0000 0.0000 0.5000
S1 0.3608 0.3608 0.0880
S2 0.0718 0.0718 0.2500
S3 0.3608 0.3608 0.4120
S4 0.6392 0.6392 0.5880
S5 0.9282 0.9282 0.7500
S6 0.6392 0.6392 0.9120

Calculated total energy (eV per atom): -5.420
Magnetization (μB per atom): 0.499
Symmetry: Cmcm, No. 63

---

Material: SmUTc
Method: DFT, GGA-PBE
State: relaxed

Cell: 2.7671 8.7281 8.7281 Å, 119.94 90.00 90.00°
Sites, in units of the cell vectors:
Sm1 0.0000 0.0000 0.0000
Sm2 0.0000 0.6668 0.3333
Sm3 0.0000 0.3333 0.6668
Tc1 0.5000 0.3329 0.3329
Tc2 0.5000 0.9998 0.6668
Tc3 0.5000 0.6668 0.9998
U1 0.0000 0.3334 0.0004
U2 0.0000 0.0004 0.3334
U3 0.0000 0.6668 0.6668

ΔH_f (0 K) (meV/atom): 473
Magnetization (μB per atom): 0.290
Symmetry: P-6m2, No. 187

---

Material: Zr2NbOs2
Method: DFT, GGA-PBE
State: relaxed

Cell: 7.0113 7.0113 7.0113 Å, 147.55 147.55 46.55°
Sites, in units of the cell vectors:
Nb1 0.0000 0.0000 0.0000
Os1 0.7500 0.2500 0.5000
Os2 0.2500 0.7500 0.5000
Zr1 0.3904 0.3904 0.0000
Zr2 0.6096 0.6096 0.0000

ΔH_f (0 K) (meV/atom): 642
Magnetization (μB per atom): 0.002
Symmetry: I4/mmm, No. 139

---

Material: TbTm2In3NiAg2
Method: DFT, GGA-PBE
State: relaxed

Cell: 3.8231 7.7437 7.7437 Å, 120.19 90.00 90.00°
Sites, in units of the cell vectors:
Ag1 0.5000 0.6692 0.3319
Ag2 0.5000 0.3319 0.6692
In1 0.5000 0.9990 0.2487
In2 0.5000 0.7511 0.7511
In3 0.5000 0.2487 0.9990
Ni1 0.0000 0.9982 0.9982
Tb1 0.0000 0.3998 0.3998
Tm1 0.0000 0.6022 0.0000
Tm2 0.0000 0.0000 0.6022

Calculated total energy (eV per atom): -4.119
Magnetization (μB per atom): 0.000
Symmetry: Amm2, No. 38

---

Material: PmZr2O4
Method: DFT, GGA-PBE
State: relaxed

Cell: 6.6259 6.6259 6.6259 Å, 119.99 90.02 119.99°
Sites, in units of the cell vectors:
O1 0.1598 0.7732 0.3865
O2 0.6133 0.2268 0.3865
O3 0.6135 0.7732 0.3867
O4 0.1365 0.2732 0.4098
O5 0.6135 0.2268 0.8402
O6 0.1365 0.7268 0.8633
O7 0.1367 0.2732 0.8635
O8 0.5902 0.7268 0.8635
Pm1 0.0000 0.0000 0.0000
Pm2 0.7500 0.5000 0.2500
Zr1 0.3750 0.7500 0.1250
Zr2 0.8750 0.2500 0.6250
Zr3 0.3750 0.7500 0.6250
Zr4 0.3750 0.2500 0.6250

Calculated total energy (eV per atom): -8.720
Magnetization (μB per atom): 0.000
Symmetry: Fd-3m, No. 227

---

Material: NpUSn
Method: DFT, GGA-PBE
State: relaxed

Cell: 4.9664 4.9664 4.9664 Å, 60.00 60.00 60.00°
Sites, in units of the cell vectors:
Np1 0.2500 0.2500 0.2500
Sn1 0.7500 0.7500 0.7500
U1 0.0000 0.0000 0.0000

Calculated total energy (eV per atom): -8.707
Magnetization (μB per atom): 2.902
Symmetry: F-43m, No. 216

---

Material: BiPd18
Method: DFT, GGA-PBE
State: relaxed

Cell: 5.5992 3.8718 38.3105 Å, 90.00 90.01 90.00°
Sites, in units of the cell vectors:
Bi1 0.6251 0.2500 0.3481
Bi2 0.3749 0.7500 0.6519
Pd1 0.8752 0.7500 0.0183
Pd2 0.3748 0.7500 0.0184
Pd3 0.6251 0.2500 0.0549
Pd4 0.1251 0.2500 0.0553
Pd5 0.8755 0.7500 0.0917
Pd6 0.3747 0.7500 0.0918
Pd7 0.6252 0.2500 0.1280
Pd8 0.1251 0.2500 0.1288
Pd9 0.8752 0.7500 0.1650
Pd10 0.3750 0.7500 0.1651
Pd11 0.6251 0.2500 0.2012
Pd12 0.1250 0.2500 0.2023
Pd13 0.8755 0.7500 0.2385
Pd14 0.3746 0.7500 0.2385
Pd15 0.6251 0.2500 0.2745
Pd16 0.1251 0.2500 0.2767
Pd17 0.8813 0.7500 0.3132
Pd18 0.3688 0.7500 0.3133
Pd19 0.6312 0.2500 0.6867
Pd20 0.1187 0.2500 0.6868
Pd21 0.8749 0.7500 0.7233
Pd22 0.3749 0.7500 0.7255
Pd23 0.6254 0.2500 0.7615
Pd24 0.1245 0.2500 0.7615
Pd25 0.8750 0.7500 0.7978
Pd26 0.3749 0.7500 0.7988
Pd27 0.6250 0.2500 0.8349
Pd28 0.1248 0.2500 0.8350
Pd29 0.8749 0.7500 0.8712
Pd30 0.3748 0.7500 0.8720
Pd31 0.6253 0.2500 0.9082
Pd32 0.1245 0.2500 0.9083
Pd33 0.8749 0.7500 0.9447
Pd34 0.3749 0.7500 0.9451
Pd35 0.6252 0.2500 0.9816
Pd36 0.1248 0.2500 0.9817

Calculated total energy (eV per atom): -5.117
Symmetry: P2_1/m, No. 11

---

Material: KHfB
Method: DFT, GGA-PBE
State: relaxed

Cell: 4.3618 4.3618 4.3618 Å, 60.00 60.00 60.00°
Sites, in units of the cell vectors:
B1 0.2500 0.2500 0.2500
Hf1 0.7500 0.7500 0.7500
K1 0.0000 0.0000 0.0000

Calculated total energy (eV per atom): -3.463
Magnetization (μB per atom): 0.001
Symmetry: F-43m, No. 216

---

Material: GdDyAg2As4
Method: DFT, GGA-PBE
State: relaxed

Cell: 4.0034 4.0034 10.3226 Å, 90.00 90.00 90.00°
Sites, in units of the cell vectors:
Ag1 0.5000 0.0000 0.9990
Ag2 0.0000 0.5000 0.9990
As1 0.0000 0.0000 0.1870
As2 0.5000 0.0000 0.5017
As3 0.0000 0.5000 0.5017
As4 0.5000 0.5000 0.8109
Dy1 0.0000 0.0000 0.7262
Gd1 0.5000 0.5000 0.2744

Calculated total energy (eV per atom): -4.949
Magnetization (μB per atom): 0.001
Symmetry: P4mm, No. 99

---

Material: Nd2ErMg3Ga3
Method: DFT, GGA-PBE
State: relaxed

Cell: 4.4929 7.3640 7.3640 Å, 119.19 90.00 90.00°
Sites, in units of the cell vectors:
Er1 0.0000 0.5787 0.5787
Ga1 0.5000 0.6639 0.3391
Ga2 0.5000 0.3391 0.6639
Ga3 0.0000 0.9918 0.9918
Mg1 0.5000 0.2435 0.2435
Mg2 0.5000 0.9989 0.7561
Mg3 0.5000 0.7561 0.9989
Nd1 0.0000 0.4264 0.0015
Nd2 0.0000 0.0015 0.4264

Calculated total energy (eV per atom): -3.581
Magnetization (μB per atom): 0.001
Symmetry: Amm2, No. 38

---

Material: Hf2TcIr
Method: DFT, GGA-PBE
State: relaxed

Cell: 6.5139 4.6064 9.2123 Å, 90.00 90.00 90.00°
Sites, in units of the cell vectors:
Hf1 0.5000 0.7500 0.1250
Hf2 0.0000 0.7500 0.1250
Hf3 0.5000 0.2500 0.3750
Hf4 0.0000 0.2500 0.3750
Hf5 0.0000 0.7500 0.6250
Hf6 0.5000 0.7500 0.6250
Hf7 0.0000 0.2500 0.8750
Hf8 0.5000 0.2500 0.8750
Ir1 0.2500 0.2500 0.1250
Ir2 0.7500 0.7500 0.3750
Ir3 0.2500 0.2500 0.6250
Ir4 0.7500 0.7500 0.8750
Tc1 0.7500 0.2500 0.1250
Tc2 0.2500 0.7500 0.3750
Tc3 0.7500 0.2500 0.6250
Tc4 0.2500 0.7500 0.8750

ΔH_f (0 K) (meV/atom): -856
Magnetization (μB per atom): 0.001
Symmetry: Fm-3m, No. 225

---

Material: Bi2Au
Method: DFT, GGA-PBE
State: relaxed

Cell: 5.9801 5.9801 5.9801 Å, 103.93 121.23 103.93°
Sites, in units of the cell vectors:
Au1 0.2500 0.0000 0.2500
Au2 0.7500 0.0000 0.7500
Bi1 0.3419 0.5000 0.1581
Bi2 0.8419 0.1838 0.3419
Bi3 0.1581 0.8162 0.6581
Bi4 0.6581 0.5000 0.8419

Calculated total energy (eV per atom): -3.757
Symmetry: I4/mcm, No. 140

---

Material: GdLuPt2
Method: DFT, GGA-PBE
State: relaxed

Cell: 4.4860 6.9875 5.5381 Å, 90.00 90.00 90.00°
Sites, in units of the cell vectors:
Gd1 0.0000 0.5692 0.1417
Gd2 0.5000 0.4308 0.6417
Lu1 0.0000 0.0680 0.3581
Lu2 0.5000 0.9320 0.8581
Pt1 0.5000 0.2810 0.1568
Pt2 0.5000 0.8072 0.3434
Pt3 0.0000 0.7190 0.6568
Pt4 0.0000 0.1928 0.8434

ΔH_f (0 K) (meV/atom): -1297
Magnetization (μB per atom): 0.004
Symmetry: Pmn2_1, No. 31

---

Material: LiYCoPb
Method: DFT, GGA-PBE
State: relaxed

Cell: 4.7948 4.7948 4.7948 Å, 60.00 60.00 60.00°
Sites, in units of the cell vectors:
Co1 0.7500 0.7500 0.7500
Li1 0.5000 0.5000 0.5000
Pb1 0.0000 0.0000 0.0000
Y1 0.2500 0.2500 0.2500

Calculated total energy (eV per atom): -4.754
Magnetization (μB per atom): 0.238
Symmetry: F-43m, No. 216

---

Material: Si3Ni2P
Method: DFT, GGA-PBE
State: relaxed

Cell: 3.8608 3.8608 5.4562 Å, 90.00 90.00 90.00°
Sites, in units of the cell vectors:
Ni1 0.0000 0.5000 0.2502
Ni2 0.5000 0.0000 0.7498
P1 0.0000 0.0000 0.0000
Si1 0.5000 0.5000 0.0000
Si2 0.0000 0.0000 0.5000
Si3 0.5000 0.5000 0.5000

Calculated total energy (eV per atom): -5.724
Magnetization (μB per atom): 0.000
Symmetry: P-4m2, No. 115

---

Material: TmAg
Method: DFT, GGA-PBE
State: relaxed

Cell: 4.5434 4.5434 4.5434 Å, 60.00 60.00 60.00°
Sites, in units of the cell vectors:
Ag1 0.0000 0.0000 0.0000
Tm1 0.2500 0.2500 0.2500

ΔH_f (0 K) (meV/atom): 464
Magnetization (μB per atom): 0.001
Symmetry: F-43m, No. 216

---

Material: DyScH4
Method: DFT, GGA-PBE
State: relaxed

Cell: 3.4987 3.4987 4.9627 Å, 90.00 90.00 90.00°
Sites, in units of the cell vectors:
Dy1 0.0000 0.0000 0.0000
H1 0.5000 0.0000 0.2706
H2 0.0000 0.5000 0.2706
H3 0.5000 0.0000 0.7294
H4 0.0000 0.5000 0.7294
Sc1 0.5000 0.5000 0.5000

Calculated total energy (eV per atom): -4.740
Magnetization (μB per atom): 0.000
Symmetry: P4/mmm, No. 123

---

Material: TbTlPdS3
Method: DFT, GGA-PBE
State: relaxed

Cell: 7.6259 7.6259 10.1806 Å, 90.00 90.00 150.05°
Sites, in units of the cell vectors:
Pd1 0.5107 0.4893 0.2500
Pd2 0.4893 0.5107 0.7500
S1 0.6205 0.3795 0.0742
S2 0.9171 0.0829 0.2500
S3 0.6205 0.3795 0.4258
S4 0.3795 0.6205 0.5742
S5 0.0829 0.9171 0.7500
S6 0.3795 0.6205 0.9258
Tb1 0.0000 0.0000 0.0000
Tb2 0.0000 0.0000 0.5000
Tl1 0.2412 0.7588 0.2500
Tl2 0.7588 0.2412 0.7500

Calculated total energy (eV per atom): -5.030
Magnetization (μB per atom): 0.002
Symmetry: Cmcm, No. 63

---

Material: RbCd3Ir
Method: DFT, GGA-PBE
State: relaxed

Cell: 7.4876 7.4885 7.4936 Å, 60.07 60.07 60.05°
Sites, in units of the cell vectors:
Cd1 0.2497 0.7503 0.2487
Cd2 0.7495 0.7521 0.2505
Cd3 0.2519 0.2492 0.2508
Cd4 0.7481 0.7508 0.7492
Cd5 0.2505 0.2479 0.7495
Cd6 0.7503 0.2497 0.7513
Ir1 0.5000 0.0000 0.0000
Ir2 0.0000 0.5000 0.5000
Rb1 0.7514 0.2523 0.2500
Rb2 0.2486 0.7477 0.7500

Calculated total energy (eV per atom): -2.527
Magnetization (μB per atom): 0.001
Symmetry: C2/m, No. 12